Entry 1:
LuCuMoPb: optimized geometry, GGA-PBE.

a b c (Å): 4.8991 4.8991 4.8991
angles (deg): 60.00 60.00 60.00
With the nearest neighbours (Å) after each atom.
Sites, in units of the cell vectors:
Cu 0.7500 0.7500 0.7500  4 Mo 3.00, 4 Pb 3.00
Lu 0.2500 0.2500 0.2500  4 Pb 3.00, 4 Mo 3.00
Mo 0.5000 0.5000 0.5000  4 Cu 3.00, 4 Lu 3.00
Pb 0.0000 0.0000 0.0000  4 Lu 3.00, 4 Cu 3.00

space group = F-43m, No. 216
relative energy among the computed polymorphs = 0.2212 eV per atom

Entry 2:
LuCuMoPb: optimized geometry, GGA-PBE.

a b c (Å): 4.7980 4.7980 4.7980
angles (deg): 60.00 60.00 60.00
With the nearest neighbours (Å) after each atom.
Sites, in units of the cell vectors:
Pb 0.0000 0.0000 0.0000  4 Mo 2.94, 4 Cu 2.94
Lu 0.5000 0.5000 0.5000  4 Mo 2.94, 4 Cu 2.94
Mo 0.2500 0.2500 0.2500  4 Pb 2.94, 4 Lu 2.94
Cu 0.7500 0.7500 0.7500  4 Lu 2.94, 4 Pb 2.94

space group = F-43m, No. 216
relative energy among the computed polymorphs = 0.0000 eV per atom

Entry 3:
LuCuSbMo: optimized geometry, GGA-PBE.

a b c (Å): 4.7160 4.7160 4.7160
angles (deg): 60.00 60.00 60.00
With the nearest neighbours (Å) after each atom.
Sites, in units of the cell vectors:
Cu 0.7500 0.7500 0.7500  4 Sb 2.89, 4 Lu 2.89
Sb 0.0000 0.0000 0.0000  4 Cu 2.89, 4 Mo 2.89
Lu 0.5000 0.5000 0.5000  4 Mo 2.89, 4 Cu 2.89
Mo 0.2500 0.2500 0.2500  4 Lu 2.89, 4 Sb 2.89

space group = F-43m, No. 216
relative energy among the computed polymorphs = 0.0000 eV per atom

Entry 4:
LuCuSbMo: optimized geometry, GGA-PBE.

a b c (Å): 4.7692 4.7692 4.7692
angles (deg): 60.00 60.00 60.00
With the nearest neighbours (Å) after each atom.
Sites, in units of the cell vectors:
Lu 0.2500 0.2500 0.2500  4 Mo 2.92, 4 Sb 2.92
Cu 0.7500 0.7500 0.7500  4 Sb 2.92, 4 Mo 2.92
Mo 0.5000 0.5000 0.5000  4 Lu 2.92, 4 Cu 2.92
Sb 0.0000 0.0000 0.0000  4 Cu 2.92, 4 Lu 2.92

space group = F-43m, No. 216
relative energy among the computed polymorphs = 0.3271 eV per atom

Entry 5:
LuCuSnMo: optimized geometry, GGA-PBE.

a b c (Å): 4.7116 4.7116 4.7116
angles (deg): 60.00 60.00 60.00
With the nearest neighbours (Å) after each atom.
Sites, in units of the cell vectors:
Cu 0.7500 0.7500 0.7500  4 Sn 2.89, 4 Lu 2.89
Lu 0.5000 0.5000 0.5000  4 Mo 2.89, 4 Cu 2.89
Mo 0.2500 0.2500 0.2500  4 Lu 2.89, 4 Sn 2.89
Sn 0.0000 0.0000 0.0000  4 Mo 2.89, 4 Cu 2.89

space group = F-43m, No. 216
relative energy among the computed polymorphs = 0.0000 eV per atom

Entry 6:
LuCuSnMo: optimized geometry, GGA-PBE.

a b c (Å): 4.7797 4.7797 4.7797
angles (deg): 60.00 60.00 60.00
With the nearest neighbours (Å) after each atom.
Sites, in units of the cell vectors:
Mo 0.5000 0.5000 0.5000  4 Lu 2.93, 4 Cu 2.93
Sn 0.0000 0.0000 0.0000  4 Lu 2.93, 4 Cu 2.93
Cu 0.7500 0.7500 0.7500  4 Mo 2.93, 4 Sn 2.93
Lu 0.2500 0.2500 0.2500  4 Mo 2.93, 4 Sn 2.93

space group = F-43m, No. 216
relative energy among the computed polymorphs = 0.3076 eV per atom